[1]
DFT (GGA-PBE) results for InW2Br after structural relaxation. Values from VASP.

```
&SYSTEM
  ibrav = 0, nat = 4, ntyp = 3
/
ATOMIC_SPECIES
In 114.82 In.upf
W 183.84 W.upf
Br 79.90 Br.upf
CELL_PARAMETERS angstrom
2.8057 -5.2393 0.0000
2.8057 5.2393 0.0000
-1.8704 0.0000 2.6530
ATOMIC_POSITIONS crystal
In 0.0000 0.0000 0.0000
W 0.0000 0.5000 0.5000
W 0.5000 0.0000 0.5000
Br 0.5000 0.5000 0.0000
```

Values from the calculation:
magnetic moment	0.000	μB/f.u.
DFT total energy	-25.8	eV per formula unit
DOS(E_F)	1.231	states/eV/atom
space group	C2/m (12)
raw formation energy	1.128	eV per atom


[2]
DFT (GGA-PBE) results for PRuO after structural relaxation. Values from VASP.

```
&SYSTEM
  ibrav = 0, nat = 3, ntyp = 3
/
ATOMIC_SPECIES
P 30.97 P.upf
Ru 101.07 Ru.upf
O 16.00 O.upf
CELL_PARAMETERS angstrom
2.8333 0.0000 0.0000
1.4164 2.4543 0.0000
1.2558 0.6359 6.5774
ATOMIC_POSITIONS crystal
P 0.0000 0.0000 0.0000
Ru 0.2374 0.2590 0.3036
O 0.5161 0.5470 0.4777
```

Values from the calculation:
magnetic moment	0.026	μB/f.u.
DFT total energy	-20.3	eV per formula unit
DOS(E_F)	1.175	states/eV/atom
space group	P1 (1)
raw formation energy	-0.217	eV per atom


[3]
DFT (GGA-PBE) results for PmErSi4 after structural relaxation. Values from VASP.

```
&SYSTEM
  ibrav = 0, nat = 6, ntyp = 3
/
ATOMIC_SPECIES
Pm 145.00 Pm.upf
Er 167.26 Er.upf
Si 28.09 Si.upf
CELL_PARAMETERS angstrom
0.0000 3.7885 3.7885
3.7885 0.0000 3.7885
3.7885 3.7885 0.0000
ATOMIC_POSITIONS crystal
Pm 0.0000 0.0000 0.0000
Er 0.2500 0.2500 0.2500
Si 0.1291 0.6236 0.6236
Si 0.6236 0.1291 0.6236
Si 0.6236 0.6236 0.1291
Si 0.6236 0.6236 0.6236
```

Values from the calculation:
magnetic moment	0.000	μB/f.u.
DFT total energy	-32.8	eV per formula unit
DOS(E_F)	0.671	states/eV/atom
space group	F-43m (216)
raw formation energy	-0.291	eV per atom


[4]
DFT (GGA-PBE) results for La8TlRu2 after structural relaxation. Values from VASP.

```
&SYSTEM
  ibrav = 0, nat = 11, ntyp = 3
/
ATOMIC_SPECIES
La 138.91 La.upf
Tl 204.38 Tl.upf
Ru 101.07 Ru.upf
CELL_PARAMETERS angstrom
7.7882 -3.5116 0.0000
7.7882 3.5116 0.0000
-0.7404 0.0000 6.5876
ATOMIC_POSITIONS crystal
La 0.0736 0.0736 0.3314
La 0.1312 0.6090 0.1165
La 0.2964 0.2964 0.6168
La 0.3910 0.8688 0.8835
La 0.6090 0.1312 0.1165
La 0.7036 0.7036 0.3832
La 0.8688 0.3910 0.8835
La 0.9264 0.9264 0.6686
Tl 0.5000 0.5000 0.5000
Ru 0.2238 0.2238 0.1949
Ru 0.7762 0.7762 0.8051
```

Values from the calculation:
magnetic moment	0.000	μB/f.u.
DFT total energy	-62.6	eV per formula unit
energy of formation from the pure elements	-0.20	eV/atom
DOS(E_F)	1.340	states/eV/atom
space group	C2/m (12)